First-principles (PBE) data for a relaxed structure of Ti2AlH, as listed in the Alexandria database.

## Properties
The energy above the most stable polymorph in this dataset is 187.4 meV/atom. Its density of states at the Fermi level is 0.8921 states/eV/atom.

a = 2.752 Å, b = 2.752 Å, c = 6.769 Å
α = 90.00°, β = 90.00°, γ = 90.00°
Sites, in units of the cell vectors:
Ti 0.000 0.000 0.198
Ti 0.000 0.000 0.802
Al 0.500 0.500 0.500
H 0.500 0.500 0.000